Material: BaCaVIn
Method: DFT, PBE-GGA
State: relaxed

Calculated values
Distance to the lowest polymorph of the same formula   130 meV/atom
Crystal system   orthorhombic
Magnetic moment   2.74 μB per formula unit
Density   4.0 g/cm3
Calculated formation energy   329 meV/atom

a = 3.8569 Å, b = 4.0881 Å, c = 9.0502 Å
α = 90.00°, β = 90.00°, γ = 90.00°
Fractional coordinates of all 4 atoms:
Ba  0.0000  0.0000  0.0000
Ca  0.5000  0.5000  0.6297
V  0.0000  0.5000  0.3306
In  0.5000  0.0000  0.3392